No. 1
Compound: Ce2EuIr
Source: the Alexandria database
Functional: PBE-GGA
Structure: optimized geometry

Results
As for the mass density: 9.1 g/cm³. The value obtained for the density of states at the Fermi level is 9.51 states/eV/cell. As for the total moment: 2.486 μB/atom. The raw total energy comes out at -0.589 Ry per atom. For the energy relative to the elements, the calculation gives -1.08 eV/f.u. As for the excess energy over the best structure of this formula in the dataset: 0.0 meV/atom.

a b c (Å): 3.647 3.647 8.607
angles (deg): 90.00 90.00 90.00
Positions (direct):
Ce 0.000 0.000 0.178
Ce 0.000 0.000 0.822
Eu 0.500 0.500 0.500
Ir 0.500 0.500 0.000

=====

No. 2
Compound: Ce2EuIr
Source: the Alexandria database
Functional: PBE-GGA
Structure: optimized geometry

Results
As for the mass density: 10.5 g/cm³. The value obtained for the density of states at the Fermi level is 9.07 states/eV/cell. As for the total moment: 2.222 μB/atom. The raw total energy comes out at -0.579 Ry per atom. For the energy relative to the elements, the calculation gives -0.49 eV/f.u. As for the excess energy over the best structure of this formula in the dataset: 145.6 meV/atom.

a b c (Å): 5.667 5.667 5.667
angles (deg): 50.14 50.14 50.14
Positions (direct):
Ce 0.241 0.241 0.241
Ce 0.759 0.759 0.759
Eu 0.000 0.000 0.000
Ir 0.500 0.500 0.500

=====

No. 3
Compound: CeEu2Ir
Source: the Alexandria database
Functional: PBE-GGA
Structure: optimized geometry

Results
As for the mass density: 8.1 g/cm³. The value obtained for the density of states at the Fermi level is 13.83 states/eV/cell. As for the total moment: 3.872 μB/atom. The raw total energy comes out at -0.644 Ry per atom. For the energy relative to the elements, the calculation gives 0.31 eV/f.u.

a b c (Å): 9.978 9.978 9.978
angles (deg): 22.82 22.82 22.82
Positions (direct):
Ce 0.000 0.000 0.000
Eu 0.224 0.224 0.224
Eu 0.776 0.776 0.776
Ir 0.500 0.500 0.500

=====

No. 4
Compound: CeEuIr4
Source: the Alexandria database
Functional: PBE-GGA
Structure: optimized geometry

Results
As for the mass density: 15.8 g/cm³. The value obtained for the density of states at the Fermi level is 9.68 states/eV/cell. As for the total moment: 1.160 μB/atom. The raw total energy comes out at -0.681 Ry per atom. For the energy relative to the elements, the calculation gives -3.94 eV/f.u.

a b c (Å): 5.407 5.407 5.407
angles (deg): 60.00 60.00 60.00
Positions (direct):
Ce 0.000 0.000 0.000
Eu 0.250 0.250 0.250
Ir 0.125 0.625 0.625
Ir 0.625 0.125 0.625
Ir 0.625 0.625 0.125
Ir 0.625 0.625 0.625

=====

No. 5
Compound: LiCeEuIr
Source: the Alexandria database
Functional: PBE-GGA
Structure: optimized geometry

Results
As for the mass density: 9.0 g/cm³. The value obtained for the density of states at the Fermi level is 8.51 states/eV/cell. As for the total moment: 1.920 μB/atom. The raw total energy comes out at -0.516 Ry per atom. For the energy relative to the elements, the calculation gives -1.10 eV/f.u.

a b c (Å): 5.035 5.035 5.035
angles (deg): 60.00 60.00 60.00
Positions (direct):
Li 0.000 0.000 0.000
Ce 0.250 0.250 0.250
Eu 0.750 0.750 0.750
Ir 0.500 0.500 0.500

=====

No. 6
Compound: CeEuIrRh
Source: the Alexandria database
Functional: PBE-GGA
Structure: optimized geometry

Results
As for the mass density: 11.5 g/cm³. The value obtained for the density of states at the Fermi level is 7.68 states/eV/cell. As for the total moment: 1.710 μB/atom. The raw total energy comes out at -0.634 Ry per atom. For the energy relative to the elements, the calculation gives -2.11 eV/f.u.

a b c (Å): 4.938 4.938 4.938
angles (deg): 60.00 60.00 60.00
Positions (direct):
Ce 0.000 0.000 0.000
Eu 0.500 0.500 0.500
Ir 0.750 0.750 0.750
Rh 0.250 0.250 0.250

=====

No. 7
Compound: CeEuIrRu
Source: the Alexandria database
Functional: PBE-GGA
Structure: optimized geometry

Results
As for the mass density: 11.6 g/cm³. The value obtained for the density of states at the Fermi level is 6.94 states/eV/cell. As for the total moment: 1.660 μB/atom. The raw total energy comes out at -0.650 Ry per atom. For the energy relative to the elements, the calculation gives -1.04 eV/f.u.

a b c (Å): 4.915 4.915 4.915
angles (deg): 60.00 60.00 60.00
Positions (direct):
Ce 0.000 0.000 0.000
Eu 0.500 0.500 0.500
Ir 0.750 0.750 0.750
Ru 0.250 0.250 0.250

=====

No. 8
Compound: LaCeEu2
Source: the Alexandria database
Functional: PBE-GGA
Structure: optimized geometry

Results
As for the mass density: 6.4 g/cm³. The value obtained for the density of states at the Fermi level is 9.25 states/eV/cell. As for the total moment: 4.144 μB/atom. The raw total energy comes out at -0.562 Ry per atom. For the energy relative to the elements, the calculation gives 0.84 eV/f.u.

a b c (Å): 6.132 6.132 4.005
angles (deg): 90.00 90.00 90.00
Positions (direct):
La 0.000 0.000 0.000
Ce 0.500 0.500 0.000
Eu 0.000 0.500 0.500
Eu 0.500 0.000 0.500